# MnZnPb2

An optimized crystal structure of MnZnPb2 (PBE, Alexandria via LeMat-Bulk).

Calculated values
- formation enthalpy at 0 K (kJ/mol of atoms) = 22
- symmetry = P4mm, No. 99
- calculated total energy (eV/cell) = -17.0
- spin magnetization (μB/cell) = 3.7

Cell lengths 3.333, 3.333, 8.308 Å; angles 90.00, 90.00, 90.00 degrees
Fractional positions:
Mn (0.000, 0.000, 0.000)
Zn (0.500, 0.500, 0.850)
Pb (0.000, 0.000, 0.598)
Pb (0.500, 0.500, 0.239)